[1]
## ReAg3O6 (PBE)

Data for a relaxed ReAg3O6 crystal.

Lattice parameters (Å, degrees): 7.0340 7.5902 10.5831 90.00 90.00 90.00
Space group Fmmm (No. 69)
Unique sites:
Re1 0.0000 0.0000 0.0000
Ag1 0.0000 0.0000 0.5000
Ag2 0.2500 0.2500 0.2500
O1 0.0000 0.2376 0.0000
O2 0.1979 0.0000 0.1302

Values from the calculation:
Formation energy (no corrections) (kJ/mol of atoms): -57.0

---

[2]
## LiNi2Pd (PBE)

Data for a relaxed LiNi2Pd crystal.

Lattice parameters (Å, degrees): 3.4102 3.4102 17.8609 90.00 90.00 90.00
Space group I-42d (No. 122)
Unique sites:
Li1 0.0000 0.0000 0.0000
Ni1 0.2437 0.2500 0.1250
Pd1 0.0000 0.0000 0.5000

Values from the calculation:
Calculated total energy (eV per cell): -71.49

---

[3]
## SbIN2 (PBE)

Data for a relaxed SbIN2 crystal.

Lattice parameters (Å, degrees): 3.4516 3.4516 20.9983 90.00 90.00 120.00
Space group R-3m (No. 166, hexagonal axes)
Unique sites:
Sb1 0.0000 0.0000 0.0000
I1 0.0000 0.0000 0.5000
N1 0.0000 0.0000 0.1093

Values from the calculation:
Formation energy (no corrections) (kJ/mol of atoms): 147.9

---

[4]
## SmDyScCd (PBE)

Data for a relaxed SmDyScCd crystal.

Lattice parameters (Å, degrees): 3.5705 3.5705 8.7646 90.00 90.00 90.00
Space group P4mm (No. 99)
Unique sites:
Sm1 0.0000 0.0000 0.0000
Dy1 0.0000 0.0000 0.5152
Sc1 0.5000 0.5000 0.2612
Cd1 0.5000 0.5000 0.7510

Values from the calculation:
Calculated total energy (eV per cell): -17.04

---

[5]
## NdCuAu2 (PBE)

Data for a relaxed NdCuAu2 crystal.

Lattice parameters (Å, degrees): 6.9574 6.9574 6.9574 90.00 90.00 90.00
Space group Fm-3m (No. 225)
Unique sites:
Nd1 0.0000 0.0000 0.0000
Cu1 0.0000 0.0000 0.5000
Au1 0.2500 0.2500 0.2500

Values from the calculation:
Calculated total energy (eV per cell): -68.81

---

[6]
## AcTc2O6 (PBE)

Data for a relaxed AcTc2O6 crystal.

Lattice parameters (Å, degrees): 10.1725 4.0326 7.4425 90.00 119.21 90.00
Space group C2/m (No. 12)
Unique sites:
Ac1 0.0000 0.0000 0.0000
Tc1 0.1767 0.0000 0.5938
O1 0.0158 0.0000 0.6667
O2 0.1667 0.5000 0.1272
O3 0.2130 0.5000 0.5727

Values from the calculation:
Formation energy (no corrections) (kJ/mol of atoms): -182.1

---

[7]
## Ta2BeTl (PBE)

Data for a relaxed Ta2BeTl crystal.

Lattice parameters (Å, degrees): 4.1336 4.1408 7.9537 90.00 90.00 90.00
Space group Cmmm (No. 65)
Unique sites:
Ta1 0.0000 0.0000 0.1995
Be1 0.0000 0.5000 0.0000
Tl1 0.0000 0.5000 0.5000

Values from the calculation:
Calculated total energy (eV per cell): -57.17

---

[8]
## TaSbO6 (PBE)

Data for a relaxed TaSbO6 crystal.

Lattice parameters (Å, degrees): 7.8783 7.8783 7.8783 90.00 90.00 90.00
Space group Fm-3m (No. 225)
Unique sites:
Ta1 0.0000 0.0000 0.0000
Sb1 0.0000 0.0000 0.5000
O1 0.0000 0.0000 0.2501

Values from the calculation:
Formation energy (no corrections) (kJ/mol of atoms): -149.3

---

[9]
## Zn3MoI (PBE)

Data for a relaxed Zn3MoI crystal.

Lattice parameters (Å, degrees): 5.2221 5.2221 5.2221 90.00 90.00 90.00
Space group Pm-3m (No. 221)
Unique sites:
Zn1 0.0000 0.0000 0.5000
Mo1 0.0000 0.0000 0.0000
I1 0.5000 0.5000 0.5000

Values from the calculation:
Formation energy (no corrections) (kJ/mol of atoms): 82.4

---

[10]
## BeOsSe (PBE)

Data for a relaxed BeOsSe crystal.

Lattice parameters (Å, degrees): 5.7180 5.7180 5.7180 90.00 90.00 90.00
Space group F-43m (No. 216)
Unique sites:
Be1 0.0000 0.0000 0.0000
Os1 0.2500 0.2500 0.7500
Se1 0.0000 0.0000 0.5000

Values from the calculation:
Formation energy (no corrections) (kJ/mol of atoms): 52.2

---

[11]
## Sm2Cd2SnRh5 (PBE)

Data for a relaxed Sm2Cd2SnRh5 crystal.

Lattice parameters (Å, degrees): 10.1708 10.1708 3.7386 90.00 90.00 90.00
Space group P4/mbm (No. 127)
Unique sites:
Sm1 0.1668 0.3332 0.0000
Cd1 0.1330 0.6330 0.0000
Sn1 0.0000 0.0000 0.0000
Rh1 0.0000 0.5000 0.5000
Rh2 0.0393 0.8015 0.5000

Values from the calculation:
Calculated total energy (eV per cell): -111.62

---

[12]
## AlZn2Rh4 (PBE)

Data for a relaxed AlZn2Rh4 crystal.

Lattice parameters (Å, degrees): 5.9065 5.9065 5.9809 90.00 90.00 90.00
Space group I4/mmm (No. 139)
Unique sites:
Al1 0.0000 0.0000 0.0000
Zn1 0.0000 0.5000 0.0000
Rh1 0.2500 0.2500 0.2500

Values from the calculation:
Calculated total energy (eV per cell): -74.96

---

| no. | N(E_F) (states/eV/atom) |
| --- | --- |
| 1 | 0.6987 |
| 2 | 1.1719 |
| 3 | 0.4419 |
| 4 | 1.5907 |
| 5 | 0.4509 |
| 6 | 0.2401 |
| 7 | 0.4595 |
| 8 | 0.7543 |
| 9 | 0.4664 |
| 10 | 1.1149 |
| 11 | 0.5972 |
| 12 | 1.4180 |